[1]
# LiTi2NiP2O10

A PBEsol-optimized structure of LiTi2NiP2O10 (meta-GGA SCAN, Alexandria).

The structure in POSCAR format:
```
LiTi2NiP2O10
1.0
6.422 0.000 0.000
0.000 7.193 0.000
-0.406 0.000 7.433
Li Ti Ni P O
2 4 2 4 20
Direct
0.000 0.000 0.000
0.000 0.500 0.500
0.266 0.225 0.667
0.266 0.275 0.167
0.734 0.725 0.833
0.734 0.775 0.333
0.500 0.000 0.000
0.500 0.500 0.500
0.239 0.629 0.884
0.239 0.871 0.384
0.761 0.129 0.616
0.761 0.371 0.116
0.042 0.749 0.888
0.042 0.751 0.388
0.225 0.001 0.219
0.225 0.499 0.719
0.268 0.516 0.059
0.268 0.984 0.559
0.272 0.152 0.896
0.272 0.348 0.396
0.429 0.739 0.368
0.429 0.761 0.868
0.571 0.239 0.132
0.571 0.261 0.632
0.728 0.652 0.604
0.728 0.848 0.104
0.732 0.016 0.441
0.732 0.484 0.941
0.775 0.501 0.281
0.775 0.999 0.781
0.958 0.249 0.612
0.958 0.251 0.112
```

Energy   -176.17 eV/f.u.
Space-group type   P2_1/c
DOS(E_F)   0.31 states/eV per atom
Formation energy without anion corrections   -2652 meV/atom

***

[2]
# Li4VNi3P4O16

A PBEsol-optimized structure of Li4VNi3P4O16 (meta-GGA SCAN, Alexandria).

The structure in POSCAR format:
```
Li4VNi3P4O16
1.0
4.668 0.000 0.000
0.000 5.893 0.000
-0.055 0.000 9.979
Li V Ni P O
4 1 3 4 16
Direct
0.000 0.245 0.000
0.000 0.755 0.000
0.496 0.247 0.516
0.496 0.753 0.516
0.482 0.500 0.232
0.017 0.500 0.734
0.514 0.000 0.783
0.970 0.000 0.285
0.073 0.000 0.604
0.427 0.000 0.102
0.578 0.500 0.912
0.914 0.500 0.415
0.191 0.000 0.458
0.215 0.209 0.675
0.215 0.791 0.675
0.242 0.500 0.409
0.250 0.500 0.912
0.293 0.210 0.175
0.293 0.790 0.175
0.296 0.000 0.959
0.703 0.500 0.058
0.717 0.290 0.843
0.717 0.710 0.843
0.744 0.000 0.607
0.755 0.000 0.104
0.768 0.296 0.339
0.768 0.704 0.339
0.795 0.500 0.558
```

Energy   -281.85 eV/f.u.
Space-group type   Pm
DOS(E_F)   0.22 states/eV per atom
Formation energy without anion corrections   -2321 meV/atom

***

[3]
# Li4V3NiP4O16

A PBEsol-optimized structure of Li4V3NiP4O16 (meta-GGA SCAN, Alexandria).

The structure in POSCAR format:
```
Li4V3NiP4O16
1.0
4.672 0.000 0.000
0.000 5.973 0.000
-0.088 0.000 10.116
Li V Ni P O
4 3 1 4 16
Direct
0.000 0.246 0.000
0.000 0.754 0.000
0.495 0.246 0.482
0.495 0.754 0.482
0.017 0.500 0.717
0.483 0.500 0.214
0.513 0.000 0.765
0.955 0.000 0.270
0.076 0.000 0.582
0.424 0.000 0.085
0.583 0.500 0.898
0.916 0.500 0.396
0.194 0.000 0.441
0.217 0.205 0.657
0.217 0.795 0.657
0.244 0.500 0.393
0.256 0.500 0.895
0.292 0.210 0.152
0.292 0.790 0.152
0.297 0.000 0.941
0.711 0.500 0.039
0.720 0.294 0.824
0.720 0.706 0.824
0.748 0.000 0.586
0.753 0.000 0.087
0.773 0.297 0.324
0.773 0.703 0.324
0.798 0.500 0.539
```

Energy   -288.52 eV/f.u.
Space-group type   Pm
DOS(E_F)   0.38 states/eV per atom
Formation energy without anion corrections   -2465 meV/atom

***

[4]
# RbLi7Ni2O6

A PBEsol-optimized structure of RbLi7Ni2O6 (meta-GGA SCAN, Alexandria).

The structure in POSCAR format:
```
RbLi7Ni2O6
1.0
4.914 -1.838 0.000
4.914 1.838 0.000
-0.429 0.000 9.788
Rb Li Ni O
1 7 2 6
Direct
0.000 0.000 0.000
0.169 0.169 0.268
0.242 0.242 0.588
0.266 0.266 0.899
0.500 0.500 0.500
0.734 0.734 0.101
0.758 0.758 0.412
0.831 0.831 0.732
0.423 0.423 0.253
0.577 0.577 0.747
0.304 0.304 0.106
0.328 0.328 0.411
0.392 0.392 0.742
0.608 0.608 0.258
0.672 0.672 0.589
0.696 0.696 0.894
```

Energy   -133.73 eV/f.u.
Space-group type   C2/m
Formation energy without anion corrections   -1658 meV/atom

***

[5]
# Li2Ni2SbO6

A PBEsol-optimized structure of Li2Ni2SbO6 (meta-GGA SCAN, Alexandria).

The structure in POSCAR format:
```
Li2Ni2SbO6
1.0
2.600 -4.416 0.000
2.600 4.416 0.000
0.000 0.000 9.880
Li Ni Sb O
4 4 2 12
Direct
0.109 0.109 0.000
0.389 0.389 0.500
0.611 0.611 0.000
0.891 0.891 0.500
0.078 0.922 0.750
0.408 0.592 0.750
0.592 0.408 0.250
0.922 0.078 0.250
0.259 0.741 0.250
0.741 0.259 0.750
0.068 0.228 0.644
0.071 0.602 0.849
0.228 0.068 0.356
0.275 0.425 0.136
0.398 0.929 0.651
0.425 0.275 0.864
0.575 0.725 0.364
0.602 0.071 0.151
0.725 0.575 0.636
0.772 0.932 0.856
0.929 0.398 0.349
0.932 0.772 0.144
```

Energy   -129.88 eV/f.u.
Space-group type   C222_1
Formation energy without anion corrections   -1646 meV/atom

***

[6]
# LiNiSbO4

A PBEsol-optimized structure of LiNiSbO4 (meta-GGA SCAN, Alexandria).

The structure in POSCAR format:
```
LiNiSbO4
1.0
-2.972 3.077 4.243
2.972 -3.077 4.243
2.972 3.077 -4.243
Li Ni Sb O
2 2 2 8
Direct
0.390 0.140 0.250
0.610 0.860 0.750
0.000 0.000 0.500
0.000 0.500 0.000
0.000 0.500 0.500
0.500 0.500 0.000
0.208 0.731 0.477
0.246 0.267 0.521
0.246 0.269 0.977
0.246 0.726 0.979
0.754 0.274 0.021
0.754 0.731 0.023
0.754 0.733 0.479
0.792 0.269 0.523
```

Energy   -92.67 eV/f.u.
Space-group type   Imma
Formation energy without anion corrections   -1703 meV/atom

***

[7]
# Li3Ni3SbO8

A PBEsol-optimized structure of Li3Ni3SbO8 (meta-GGA SCAN, Alexandria).

The structure in POSCAR format:
```
Li3Ni3SbO8
1.0
2.930 1.691 4.853
-2.930 1.691 4.853
0.000 -3.383 4.853
Li Ni Sb O
3 3 1 8
Direct
0.000 0.500 0.500
0.500 0.000 0.500
0.500 0.500 0.000
0.000 0.000 0.500
0.000 0.500 0.000
0.500 0.000 0.000
0.500 0.500 0.500
0.230 0.230 0.230
0.252 0.739 0.739
0.261 0.261 0.748
0.261 0.748 0.261
0.739 0.252 0.739
0.739 0.739 0.252
0.748 0.261 0.261
0.770 0.770 0.770
```

Energy   -166.97 eV/f.u.
Space-group type   R-3m
DOS(E_F)   0.35 states/eV per atom
Formation energy without anion corrections   -1611 meV/atom

***

[8]
# Li3Ni2SbO6

A PBEsol-optimized structure of Li3Ni2SbO6 (meta-GGA SCAN, Alexandria).

The structure in POSCAR format:
```
Li3Ni2SbO6
1.0
6.286 -1.516 0.000
6.286 1.516 0.000
-1.317 0.000 5.919
Li Ni Sb O
3 2 1 6
Direct
0.000 0.000 0.000
0.321 0.321 0.699
0.679 0.679 0.301
0.330 0.330 0.149
0.670 0.670 0.851
0.000 0.000 0.500
0.158 0.158 0.593
0.166 0.166 0.068
0.496 0.496 0.727
0.504 0.504 0.273
0.834 0.834 0.932
0.842 0.842 0.407
```

Energy   -134.78 eV/f.u.
Space-group type   C2/m
Formation energy without anion corrections   -1718 meV/atom

***

[9]
# Li3Ni4SbO8

A PBEsol-optimized structure of Li3Ni4SbO8 (meta-GGA SCAN, Alexandria).

The structure in POSCAR format:
```
Li3Ni4SbO8
1.0
5.042 -2.972 0.000
5.042 2.972 0.000
-3.413 0.000 4.832
Li Ni Sb O
3 4 1 8
Direct
0.000 0.000 0.000
0.000 0.500 0.500
0.500 0.000 0.500
0.000 0.000 0.500
0.000 0.500 0.000
0.500 0.000 0.000
0.500 0.500 0.000
0.500 0.500 0.500
0.250 0.250 0.766
0.259 0.259 0.253
0.259 0.740 0.740
0.260 0.741 0.260
0.740 0.259 0.740
0.741 0.260 0.260
0.741 0.741 0.747
0.750 0.750 0.234
```

Energy   -185.61 eV/f.u.
Space-group type   C2/m
DOS(E_F)   0.00 states/eV per atom
Formation energy without anion corrections   -1665 meV/atom

***

[10]
# Li4Ni3Sb5O16

A PBEsol-optimized structure of Li4Ni3Sb5O16 (meta-GGA SCAN, Alexandria).

The structure in POSCAR format:
```
Li4Ni3Sb5O16
1.0
5.230 -3.068 0.000
5.230 3.068 0.000
-0.048 0.000 10.164
Li Ni Sb O
4 3 5 16
Direct
0.000 0.000 0.000
0.007 0.007 0.482
0.327 0.327 0.386
0.671 0.671 0.885
0.165 0.165 0.705
0.328 0.823 0.215
0.823 0.328 0.215
0.164 0.660 0.707
0.316 0.316 0.011
0.646 0.646 0.472
0.660 0.164 0.707
0.823 0.823 0.216
0.019 0.494 0.811
0.140 0.677 0.106
0.150 0.150 0.106
0.299 0.838 0.594
0.335 0.335 0.597
0.494 0.019 0.811
0.495 0.495 0.807
0.508 0.508 0.333
0.515 0.959 0.338
0.662 0.662 0.112
0.677 0.140 0.106
0.838 0.299 0.594
0.845 0.845 0.592
0.959 0.515 0.338
0.991 0.991 0.307
0.996 0.996 0.811
```

Energy   -389.31 eV/f.u.
Space-group type   Cm
DOS(E_F)   0.19 states/eV per atom
Formation energy without anion corrections   -1615 meV/atom

***

[11]
# Li4Ni5Sb3O16

A PBEsol-optimized structure of Li4Ni5Sb3O16 (meta-GGA SCAN, Alexandria).

The structure in POSCAR format:
```
Li4Ni5Sb3O16
1.0
5.101 -2.988 0.000
5.101 2.988 0.000
-0.214 0.000 9.313
Li Ni Sb O
4 5 3 16
Direct
0.000 0.000 0.000
0.324 0.324 0.456
0.549 0.549 0.573
0.640 0.640 0.107
0.016 0.016 0.589
0.324 0.832 0.320
0.333 0.333 0.100
0.503 0.503 0.827
0.832 0.324 0.320
0.008 0.506 0.812
0.506 0.008 0.812
0.831 0.831 0.322
0.143 0.143 0.434
0.158 0.701 0.444
0.185 0.185 0.939
0.186 0.630 0.949
0.337 0.337 0.694
0.347 0.830 0.704
0.494 0.979 0.208
0.495 0.495 0.218
0.630 0.186 0.949
0.659 0.659 0.421
0.677 0.677 0.923
0.701 0.158 0.444
0.830 0.347 0.704
0.842 0.842 0.704
0.979 0.494 0.208
0.996 0.996 0.210
```

Energy   -346.15 eV/f.u.
Space-group type   Cm
DOS(E_F)   0.19 states/eV per atom
Formation energy without anion corrections   -1580 meV/atom

***

[12]
# Li4Ni3Sn3Sb2O16

A PBEsol-optimized structure of Li4Ni3Sn3Sb2O16 (meta-GGA SCAN, Alexandria).

The structure in POSCAR format:
```
Li4Ni3Sn3Sb2O16
1.0
5.249 -3.041 0.000
5.249 3.041 0.000
-0.012 0.000 9.602
Li Ni Sn Sb O
4 3 3 2 16
Direct
0.000 0.000 0.000
0.324 0.324 0.521
0.566 0.566 0.453
0.654 0.654 0.912
0.327 0.839 0.698
0.497 0.497 0.192
0.839 0.327 0.698
0.006 0.502 0.202
0.502 0.006 0.202
0.836 0.836 0.695
0.011 0.011 0.429
0.338 0.338 0.917
0.000 0.000 0.801
0.000 0.498 0.820
0.150 0.150 0.568
0.157 0.701 0.555
0.185 0.185 0.066
0.187 0.628 0.064
0.337 0.337 0.313
0.337 0.832 0.316
0.498 0.000 0.820
0.498 0.498 0.813
0.628 0.187 0.064
0.665 0.665 0.606
0.667 0.667 0.102
0.701 0.157 0.555
0.832 0.337 0.316
0.847 0.847 0.310
```

Energy   -389.33 eV/f.u.
Space-group type   Cm
DOS(E_F)   0.02 states/eV per atom
Formation energy without anion corrections   -1760 meV/atom

***

[13]
# Li4Ti2Ni3Sb3O16

A PBEsol-optimized structure of Li4Ti2Ni3Sb3O16 (meta-GGA SCAN, Alexandria).

The structure in POSCAR format:
```
Li4Ti2Ni3Sb3O16
1.0
5.222 -3.012 0.000
5.222 3.012 0.000
-0.113 0.000 9.535
Li Ti Ni Sb O
4 2 3 3 16
Direct
0.000 0.000 0.000
0.019 0.019 0.524
0.312 0.312 0.619
0.663 0.663 0.104
0.311 0.311 0.002
0.625 0.625 0.539
0.161 0.161 0.291
0.323 0.812 0.794
0.812 0.323 0.794
0.159 0.654 0.292
0.654 0.159 0.292
0.813 0.813 0.792
0.034 0.479 0.164
0.143 0.650 0.913
0.161 0.161 0.914
0.322 0.815 0.411
0.327 0.327 0.406
0.479 0.034 0.164
0.479 0.479 0.169
0.495 0.495 0.658
0.510 0.943 0.658
0.650 0.143 0.913
0.652 0.652 0.899
0.815 0.322 0.411
0.835 0.835 0.407
0.943 0.510 0.658
0.983 0.983 0.705
0.993 0.993 0.189
```

Energy   -358.12 eV/f.u.
Space-group type   Cm
DOS(E_F)   0.13 states/eV per atom
Formation energy without anion corrections   -2018 meV/atom

***

[14]
# Li4V2Ni3Sb3O16

A PBEsol-optimized structure of Li4V2Ni3Sb3O16 (meta-GGA SCAN, Alexandria).

The structure in POSCAR format:
```
Li4V2Ni3Sb3O16
1.0
5.206 -2.990 0.000
5.206 2.990 0.000
-0.199 0.000 9.414
Li V Ni Sb O
4 2 3 3 16
Direct
0.000 0.000 0.000
0.335 0.335 0.478
0.577 0.577 0.559
0.659 0.659 0.104
0.030 0.030 0.569
0.348 0.348 0.098
0.339 0.842 0.304
0.501 0.501 0.816
0.842 0.339 0.304
0.007 0.505 0.808
0.505 0.007 0.808
0.845 0.845 0.315
0.007 0.007 0.206
0.010 0.513 0.192
0.152 0.712 0.453
0.154 0.154 0.454
0.185 0.627 0.941
0.187 0.187 0.935
0.336 0.336 0.693
0.343 0.841 0.694
0.494 0.494 0.190
0.513 0.010 0.192
0.627 0.185 0.941
0.673 0.673 0.402
0.673 0.673 0.915
0.712 0.152 0.453
0.840 0.840 0.702
0.841 0.343 0.694
```

Energy   -357.29 eV/f.u.
Space-group type   Cm
DOS(E_F)   0.21 states/eV per atom
Formation energy without anion corrections   -1884 meV/atom